Record 1
YTc2Hg: relaxed, PBE.

Summary:
Formation enthalpy at 0 K ... 0.664 eV/atom
Energy ... -0.228 hartree per atom

Cell: 2.954 2.954 8.801 Å, 90.00 90.00 90.00°
Last column: magnetic moment on the atom in μB.
Element x y z (fractional)
Tc 0.000 0.000 0.513  0.94
Y 0.500 0.500 0.250  -0.01
Tc 0.000 0.000 0.987  0.94
Hg 0.500 0.500 0.750  0.01

---

Record 2
Y8TcHg2: relaxed, PBE.

Summary:
Formation enthalpy at 0 K ... -0.097 eV/atom
Energy ... -0.213 hartree per atom

Cell: 5.097 8.434 8.599 Å, 119.37 107.24 90.00°
Element x y z (fractional)
Hg 0.799 0.299 0.599
Y 0.878 0.878 0.757
Y 0.000 0.668 0.000
Y 0.122 0.122 0.243
Y 0.351 0.121 0.702
Tc 0.500 0.000 0.000
Y 0.351 0.581 0.702
Y 0.000 0.332 0.000
Y 0.649 0.879 0.298
Y 0.649 0.419 0.298
Hg 0.201 0.701 0.401

---

Record 3
YTc2Hg: relaxed, PBE.

Summary:
Formation enthalpy at 0 K ... 0.440 eV/atom
Energy ... -0.236 hartree per atom

Cell: 3.591 3.591 6.224 Å, 90.00 90.00 90.00°
Last column: magnetic moment on the atom in μB.
Element x y z (fractional)
Tc 0.000 0.000 0.555  0.08
Hg 0.500 0.500 0.750  0.00
Tc 0.000 0.000 0.945  0.08
Y 0.500 0.500 0.250  0.00

---

Record 4
YTc2Hg: relaxed, PBE.

Summary:
Formation enthalpy at 0 K ... 0.706 eV/atom
Energy ... -0.227 hartree per atom

Cell: 9.491 9.491 9.491 Å, 18.73 18.73 18.73°
Last column: magnetic moment on the atom in μB.
Element x y z (fractional)
Hg 0.750 0.750 0.750  0.00
Tc 0.498 0.498 0.498  0.43
Tc 0.002 0.002 0.002  0.43
Y 0.250 0.250 0.250  0.00

---

Record 5
Y6Tc2Hg: relaxed, PBE.

Summary:
Formation enthalpy at 0 K ... -0.169 eV/atom
Energy ... -0.250 hartree per atom

Cell: 8.531 8.531 8.531 Å, 105.41 111.69 111.39°
Element x y z (fractional)
Hg 0.000 0.500 0.500
Y 0.470 0.282 0.189
Y 0.293 0.611 0.317
Y 0.707 0.389 0.683
Y 0.209 0.765 0.975
Tc 0.628 0.000 0.628
Y 0.209 0.235 0.444
Y 0.707 0.024 0.317
Y 0.293 0.976 0.683
Tc 0.372 0.000 0.372
Y 0.093 0.282 0.811
Hg 0.000 0.000 0.000
Tc 0.500 0.614 0.114
Y 0.791 0.235 0.025
Y 0.530 0.718 0.811
Tc 0.500 0.386 0.886
Y 0.791 0.765 0.556
Y 0.907 0.718 0.189

---

Record 6
YTc2Hg: relaxed, PBE.

Summary:
Formation enthalpy at 0 K ... 0.317 eV/atom
Energy ... -0.241 hartree per atom

Cell: 4.885 3.170 5.289 Å, 90.02 90.00 90.00°
Element x y z (fractional)
Hg 0.500 0.750 0.750
Tc 0.000 0.750 0.463
Tc 0.000 0.750 0.037
Y 0.500 0.250 0.250